{
  "formula": "CdTe",
  "functional": "PBE",
  "state": "optimized geometry",
  "density_g_cm3": 6.70,
  "e_form_raw_ev_per_atom": -0.1306,
  "dos_ef_per_ev_cell": 1.13,
  "lattice": [[4.289, 0.000, 0.000], [-2.144, 3.714, 0.000], [0.000, 0.000, 3.733]],
  "species": ["Cd", "Te"],
  "frac_coords": [[0.000, 0.000, 0.000], [0.667, 0.333, 0.500]]
}